A geometry-optimized Ho4Er2Hg structure. Source: Alexandria, functional GGA-PBE.

Lattice parameters (Å, degrees): 8.2956 8.2956 8.3559 116.88 116.88 24.32
Fractional positions:
Ho: 0.0816 0.0816 0.2029
Ho: 0.3694 0.3694 0.1080
Ho: 0.6306 0.6306 0.8920
Ho: 0.9184 0.9184 0.7971
Er: 0.2168 0.2168 0.6400
Er: 0.7832 0.7832 0.3600
Hg: 0.0000 0.0000 0.5000

Summary:
As for the space-group type: No. 12. The calculation puts the formation energy at 0.0 kJ/mol of atoms.

---

A geometry-optimized Li2CePd5 structure. Source: Alexandria, functional GGA-PBE.

Lattice parameters (Å, degrees): 7.6357 7.6357 7.6357 147.86 147.86 46.09
Fractional positions:
Li: 0.2498 0.2498 0.0000
Li: 0.7502 0.7502 0.0000
Ce: 0.0000 0.0000 0.0000
Pd: 0.1408 0.6408 0.5000
Pd: 0.3592 0.8592 0.5000
Pd: 0.5000 0.5000 0.0000
Pd: 0.6408 0.1408 0.5000
Pd: 0.8592 0.3592 0.5000

Summary:
As for the space-group type: No. 139. The calculation puts the formation energy at -60.6 kJ/mol of atoms.

---

| no. | calculated total energy (eV/atom) |
| --- | --- |
| 1 | -3.963 |
| 2 | -5.094 |